(1)
5
Lattice="-0.7202 0.1233 -4.8217 -1.2191 -4.7215 0.0613 -4.6674 1.2145 0.7282" Properties=species:S:1:pos:R:3 comment="SrLi2GaPd (GGA-PBE, optimized geometry)" relative_energy_kj_per_mol_atoms=0.00 sg="P4/mmm (123)" delta_e_f_ev_per_fu=-1.7 pbc="T T T"
Ga -2.3337 0.6073 0.3641
Sr -3.3033 -1.6918 -2.0161
Li -0.6095 -2.3608 0.0307
Li -0.3601 0.0617 -2.4109
Pd 0.0000 0.0000 0.0000

(2)
80
Lattice="11.1462 0.0000 0.0000 -3.7154 10.5088 0.0000 -3.7154 -5.2544 9.1009" Properties=species:S:1:pos:R:3 comment="Li5Ac3H12 (GGA-PBE, optimized geometry)" sg="Ia-3d (230)" pbc="T T T"
Li 2.7866 7.8816 2.2752
Li 0.9289 -2.6272 6.8257
Li 0.9289 3.2840 7.9633
Li 5.5731 0.0000 0.0000
Li -1.8577 5.2544 0.0000
Li -0.9289 8.5384 1.1376
Li -1.8577 -2.6272 4.5504
Li 4.6443 -3.2840 7.9633
Li 4.6443 2.6272 6.8257
Li -2.7866 5.9112 3.4128
Li 4.6443 4.5976 3.4128
Li 3.7154 5.2544 0.0000
Li 1.8577 2.6272 4.5504
Li -0.9289 0.6568 5.6880
Li 2.7866 1.9704 1.1376
Li 6.5020 -0.6568 5.6880
Li 0.0000 0.0000 0.0000
Li -0.9289 2.6272 2.2752
Li 3.7154 -2.6272 4.5504
Li -3.7154 2.6272 4.5504
H 8.3833 2.4622 2.6666
H -1.3847 -0.5742 4.3385
H 2.4170 6.6810 0.8729
H 4.6207 1.5490 1.0848
H 7.9901 5.2970 1.6720
H 0.9053 0.9132 5.3495
H 1.9375 -1.8785 5.4234
H 5.1001 5.8286 4.7623
H 1.3847 3.8372 6.2224
H 6.9578 0.5742 4.3385
H -1.9375 -4.1241 8.8890
H -0.9053 3.7054 8.0161
H -1.2985 0.0426 7.4289
H 3.2424 -1.4172 2.8785
H -0.9524 6.1676 3.7514
H 5.0139 5.2117 1.6720
H 1.7779 7.1329 3.6775
H -3.2424 4.6802 4.7623
H -4.2747 -0.0426 7.4289
H 6.0462 -0.8430 1.8839
H 2.3307 1.4172 2.8785
H 4.2747 1.4266 8.2280
H 1.2985 -1.4266 8.2280
H -0.5592 3.8277 0.8729
H 4.6679 -0.9132 5.3495
H 0.0798 3.3759 3.6775
H -2.3307 6.0974 7.2170
H 2.8101 4.3412 3.7514
H -0.9053 -2.7922 6.4343
H -0.5592 6.7237 0.7990
H 7.3510 1.1303 0.2119
H 3.6356 1.8785 5.4234
H -3.7953 7.4999 3.4656
H 2.4170 3.7851 0.7990
H -2.7630 8.9598 1.0848
H 4.1884 4.4114 7.2170
H 4.2747 -1.4693 8.3018
H 0.4730 6.6716 6.2224
H 5.6530 9.3785 0.2119
H 7.5107 -2.2456 5.6353
H 1.2985 1.4693 8.3018
H 5.6530 3.0088 3.4656
H -0.4730 0.8430 1.8839
H -1.9375 2.2456 5.6353
H -3.6356 4.1241 8.8890
H -4.6679 2.7922 6.4343
H 4.6207 8.0466 2.6666
H 6.4784 -3.7054 8.0161
Ac 6.5020 7.2248 1.1376
Ac -2.7866 -1.9704 7.9633
Ac -4.6443 5.2544 6.8257
Ac 4.6443 0.6568 3.4128
Ac 0.9289 5.2544 2.2752
Ac 0.9289 -0.6568 3.4128
Ac -0.9289 4.5976 5.6880
Ac 2.7866 5.9112 5.6880
Ac 6.5020 3.2840 1.1376
Ac -2.7866 1.9704 7.9633
Ac 8.3597 0.0000 2.2752
Ac 2.7866 0.0000 6.8257

(3)
11
Lattice="4.9118 0.1214 -0.7778 -1.5906 6.4390 -2.6402 0.1171 -0.0109 7.1377" Properties=species:S:1:pos:R:3 comment="Sc8Fe2Au (GGA-PBE, optimized geometry)" sg="C2/m (12)" delta_e_f_ev_per_fu=-1.9 pbc="T T T"
Sc 2.3489 2.2131 -0.8651
Sc 1.0805 4.3776 4.6124
Sc 4.6122 1.6873 4.0160
Sc 0.3806 2.4538 1.5521
Sc 3.0478 4.1329 2.1939
Sc 2.8052 0.4896 1.7478
Sc 3.7283 5.0255 -1.0446
Sc 0.6244 6.1000 2.0012
Fe 2.0279 2.1077 3.6728
Fe 1.3996 4.4810 0.0748
Au -0.0033 0.0183 0.0127

(4)
4
Lattice="-3.5981 1.3404 4.0729 0.4438 -2.4112 5.0320 1.7388 2.9972 4.3961" Properties=species:S:1:pos:R:3 comment="CeTmLuTh (GGA-PBE, optimized geometry)" sg="F-43m (216)" delta_e_f_ev_per_fu=0.9 pbc="T T T"
Tm -0.3539 0.4816 3.3752
Th -0.7078 0.9632 6.7505
Ce -1.0617 1.4447 10.1257
Lu 0.0000 0.0000 0.0000

| no. | energy (eV/atom) |
| --- | --- |
| 1 | -3.082 |
| 2 | -3.496 |
| 3 | -6.615 |
| 4 | -5.364 |